# PaSiIr

A relaxed structure of PaSiIr (PBE, OQMD).

POSCAR file:
```
PaSiIr
1.0
0.000 3.191 3.191
3.191 0.000 3.191
3.191 3.191 0.000
Pa Si Ir
1 1 1
direct
0.000 0.000 0.000 Pa
0.500 0.500 0.500 Si
0.750 0.750 0.750 Ir
```

Calculated values
Total energy: -8.545 eV per atom
Total magnetic moment: 0.00 μB/atom


# PaSiIr

A relaxed structure of PaSiIr (PBE, OQMD).

POSCAR file:
```
PaSiIr
1.0
0.000 3.246 3.246
3.246 0.000 3.246
3.246 3.246 0.000
Pa Si Ir
1 1 1
direct
0.000 0.000 0.000 Pa
0.250 0.250 0.250 Si
0.750 0.750 0.750 Ir
```

Calculated values
Total energy: -7.836 eV per atom
Total magnetic moment: 0.00 μB/atom


# Pa2Si5Ir3

A relaxed structure of Pa2Si5Ir3 (PBE, OQMD).

POSCAR file:
```
Pa2Si5Ir3
1.0
-4.991 5.666 2.974
4.991 -5.666 2.974
4.991 5.666 -2.974
Pa Si Ir
4 10 6
direct
0.133 0.228 0.361 Pa
0.367 0.728 0.096 Pa
0.633 0.272 0.904 Pa
0.867 0.772 0.639 Pa
0.024 0.750 0.274 Si
0.111 0.651 0.762 Si
0.250 0.250 0.000 Si
0.389 0.151 0.541 Si
0.476 0.750 0.726 Si
0.524 0.250 0.274 Si
0.611 0.849 0.459 Si
0.750 0.750 0.000 Si
0.889 0.349 0.238 Si
0.976 0.250 0.726 Si
0.140 0.885 0.025 Ir
0.250 0.750 0.500 Ir
0.360 0.385 0.745 Ir
0.640 0.615 0.255 Ir
0.750 0.250 0.500 Ir
0.860 0.115 0.975 Ir
```

Calculated values
Total energy: -8.149 eV per atom
Total magnetic moment: 0.00 μB/atom


# Pa2Si3Ir

A relaxed structure of Pa2Si3Ir (PBE, OQMD).

POSCAR file:
```
Pa2Si3Ir
1.0
0.000 4.077 7.034
3.983 0.000 7.034
3.983 4.077 0.000
Pa Si Ir
4 6 2
direct
0.249 0.751 0.751 Pa
0.250 0.250 0.250 Pa
0.750 0.750 0.750 Pa
0.751 0.249 0.249 Pa
0.171 0.663 0.337 Si
0.335 0.335 0.665 Si
0.337 0.829 0.171 Si
0.663 0.171 0.829 Si
0.665 0.665 0.335 Si
0.829 0.337 0.663 Si
0.166 0.166 0.834 Ir
0.834 0.834 0.166 Ir
```

Calculated values
Total energy: -8.131 eV per atom
Total magnetic moment: 0.00 μB/atom


# SrPaIr

A relaxed structure of SrPaIr (PBE, OQMD).

POSCAR file:
```
SrPaIr
1.0
0.000 3.477 3.477
3.477 0.000 3.477
3.477 3.477 0.000
Sr Pa Ir
1 1 1
direct
0.000 0.000 0.000 Sr
0.500 0.500 0.500 Pa
0.750 0.750 0.750 Ir
```

Calculated values
ΔE to the lowest computed polymorph: 0 meV per atom
Total energy: -6.592 eV per atom
Total magnetic moment: 0.52 μB/atom


# TbPaIr2

A relaxed structure of TbPaIr2 (PBE, OQMD).

POSCAR file:
```
TbPaIr2
1.0
8.547 0.000 0.000
0.000 5.677 0.000
-0.073 0.000 7.156
Tb Pa Ir
4 4 8
direct
0.120 0.148 0.179 Tb
0.120 0.352 0.679 Tb
0.880 0.648 0.321 Tb
0.880 0.852 0.821 Tb
0.371 0.658 0.322 Pa
0.371 0.842 0.822 Pa
0.629 0.158 0.178 Pa
0.629 0.342 0.678 Pa
0.141 0.653 0.048 Ir
0.141 0.847 0.548 Ir
0.389 0.185 0.441 Ir
0.389 0.315 0.941 Ir
0.611 0.685 0.059 Ir
0.611 0.815 0.559 Ir
0.859 0.153 0.452 Ir
0.859 0.347 0.952 Ir
```

Calculated values
Total energy: -8.872 eV per atom
ΔH_f (0 K): -0.913 eV per atom
Total magnetic moment: 0.00 μB/atom


# TbPaIr

A relaxed structure of TbPaIr (PBE, OQMD).

POSCAR file:
```
TbPaIr
1.0
0.000 3.393 3.393
3.393 0.000 3.393
3.393 3.393 0.000
Tb Pa Ir
1 1 1
direct
0.000 0.000 0.000 Tb
0.500 0.500 0.500 Pa
0.250 0.250 0.250 Ir
```

Calculated values
ΔE to the lowest computed polymorph: 0 meV per atom
Total energy: -7.995 eV per atom
ΔH_f (0 K): -0.335 eV per atom
Total magnetic moment: 0.00 μB/atom


# PaTe4Ir2

A relaxed structure of PaTe4Ir2 (PBE, OQMD).

POSCAR file:
```
PaTe4Ir2
1.0
-3.694 3.694 3.000
3.694 -3.694 3.000
3.694 3.694 -3.000
Pa Te Ir
1 4 2
direct
0.000 0.000 0.000 Pa
0.285 0.285 0.569 Te
0.285 0.715 0.000 Te
0.715 0.285 0.000 Te
0.715 0.715 0.431 Te
0.250 0.750 0.500 Ir
0.750 0.250 0.500 Ir
```

Calculated values
Total energy: -5.438 eV per atom
Total magnetic moment: 0.00 μB/atom


# ThPaIr

A relaxed structure of ThPaIr (PBE, OQMD).

POSCAR file:
```
ThPaIr
1.0
0.000 3.441 3.441
3.441 0.000 3.441
3.441 3.441 0.000
Th Pa Ir
1 1 1
direct
0.000 0.000 0.000 Th
0.500 0.500 0.500 Pa
0.750 0.750 0.750 Ir
```

Calculated values
ΔE to the lowest computed polymorph: 0 meV per atom
Total energy: -8.845 eV per atom
ΔH_f (0 K): -0.257 eV per atom
Total magnetic moment: 0.00 μB/atom


# Th2PaIr2

A relaxed structure of Th2PaIr2 (PBE, OQMD).

POSCAR file:
```
Th2PaIr2
1.0
4.762 0.000 0.000
-2.381 4.124 0.000
0.000 0.000 12.816
Th Pa Ir
4 2 4
direct
0.000 0.000 0.000 Th
0.000 0.000 0.500 Th
0.333 0.667 0.250 Th
0.667 0.333 0.750 Th
0.000 0.000 0.250 Pa
0.000 0.000 0.750 Pa
0.333 0.667 0.639 Ir
0.333 0.667 0.861 Ir
0.667 0.333 0.139 Ir
0.667 0.333 0.361 Ir
```

Calculated values
Total energy: -8.400 eV per atom
ΔH_f (0 K): 0.006 eV per atom
Total magnetic moment: 0.00 μB/atom


# TmPaIr

A relaxed structure of TmPaIr (PBE, OQMD).

POSCAR file:
```
TmPaIr
1.0
0.000 3.376 3.376
3.376 0.000 3.376
3.376 3.376 0.000
Tm Pa Ir
1 1 1
direct
0.000 0.000 0.000 Tm
0.500 0.500 0.500 Pa
0.250 0.250 0.250 Ir
```

Calculated values
ΔE to the lowest computed polymorph: 0 meV per atom
Total energy: -8.005 eV per atom
ΔH_f (0 K): -0.396 eV per atom
Total magnetic moment: 0.01 μB/atom


# PaIrW

A relaxed structure of PaIrW (PBE, OQMD).

POSCAR file:
```
PaIrW
1.0
0.000 3.215 3.215
3.215 0.000 3.215
3.215 3.215 0.000
Pa Ir W
1 1 1
direct
0.000 0.000 0.000 Pa
0.250 0.250 0.250 Ir
0.500 0.500 0.500 W
```

Calculated values
ΔE to the lowest computed polymorph: 0 meV per atom
Total energy: -10.086 eV per atom
ΔH_f (0 K): 0.351 eV per atom
Total magnetic moment: 0.01 μB/atom


# PaIrW

A relaxed structure of PaIrW (PBE, OQMD).

POSCAR file:
```
PaIrW
1.0
0.000 3.191 3.191
3.191 0.000 3.191
3.191 3.191 0.000
Pa Ir W
1 1 1
direct
0.000 0.000 0.000 Pa
0.750 0.750 0.750 Ir
0.250 0.250 0.250 W
```

Calculated values
ΔE to the lowest computed polymorph: 362 meV per atom
Total energy: -9.725 eV per atom
ΔH_f (0 K): 0.712 eV per atom
Total magnetic moment: 0.15 μB/atom


# YPaIr

A relaxed structure of YPaIr (PBE, OQMD).

POSCAR file:
```
YPaIr
1.0
0.000 3.393 3.393
3.393 0.000 3.393
3.393 3.393 0.000
Y Pa Ir
1 1 1
direct
0.000 0.000 0.000 Y
0.500 0.500 0.500 Pa
0.250 0.250 0.250 Ir
```

Calculated values
ΔE to the lowest computed polymorph: 0 meV per atom
Total energy: -8.601 eV per atom
ΔH_f (0 K): -0.329 eV per atom
Total magnetic moment: 0.01 μB/atom


# ZrPaIr

A relaxed structure of ZrPaIr (PBE, OQMD).

POSCAR file:
```
ZrPaIr
1.0
0.000 3.314 3.314
3.314 0.000 3.314
3.314 3.314 0.000
Zr Pa Ir
1 1 1
direct
0.000 0.000 0.000 Zr
0.500 0.500 0.500 Pa
0.750 0.750 0.750 Ir
```

Calculated values
ΔE to the lowest computed polymorph: 0 meV per atom
Total energy: -9.228 eV per atom
ΔH_f (0 K): -0.262 eV per atom
Total magnetic moment: 0.05 μB/atom


# ZrPaIr

A relaxed structure of ZrPaIr (PBE, OQMD).

POSCAR file:
```
ZrPaIr
1.0
0.000 3.250 3.250
3.250 0.000 3.250
3.250 3.250 0.000
Zr Pa Ir
1 1 1
direct
0.000 0.000 0.000 Zr
0.750 0.750 0.750 Pa
0.500 0.500 0.500 Ir
```

Calculated values
ΔE to the lowest computed polymorph: 440 meV per atom
Total energy: -8.788 eV per atom
ΔH_f (0 K): 0.178 eV per atom
Total magnetic moment: 0.09 μB/atom


# Ir7Pb

A relaxed structure of Ir7Pb (PBE, OQMD).

POSCAR file:
```
Ir7Pb
1.0
2.797 0.000 0.000
0.000 2.797 0.000
0.000 0.000 43.449
Ir Pb
14 2
direct
0.250 0.250 0.022 Ir
0.250 0.250 0.110 Ir
0.250 0.250 0.197 Ir
0.250 0.250 0.284 Ir
0.250 0.250 0.759 Ir
0.250 0.250 0.847 Ir
0.250 0.250 0.934 Ir
0.750 0.750 0.066 Ir
0.750 0.750 0.153 Ir
0.750 0.750 0.241 Ir
0.750 0.750 0.716 Ir
0.750 0.750 0.803 Ir
0.750 0.750 0.890 Ir
0.750 0.750 0.978 Ir
0.250 0.250 0.663 Pb
0.750 0.750 0.337 Pb
```

Calculated values
ΔE to the lowest computed polymorph: 64 meV per atom
Total energy: -8.032 eV per atom
Total magnetic moment: 0.00 μB/atom


# Ir17Pb

A relaxed structure of Ir17Pb (PBE, OQMD).

POSCAR file:
```
Ir17Pb
1.0
5.452 0.000 0.000
-2.726 4.721 0.000
0.000 0.000 33.441
Ir Pb
34 2
direct
0.000 0.000 0.000 Ir
0.000 0.000 0.202 Ir
0.000 0.000 0.798 Ir
0.000 0.500 0.000 Ir
0.002 0.501 0.201 Ir
0.167 0.333 0.134 Ir
0.167 0.333 0.734 Ir
0.167 0.334 0.933 Ir
0.167 0.833 0.134 Ir
0.167 0.833 0.734 Ir
0.167 0.833 0.933 Ir
0.333 0.167 0.266 Ir
0.333 0.167 0.866 Ir
0.333 0.667 0.067 Ir
0.333 0.667 0.866 Ir
0.334 0.167 0.067 Ir
0.499 0.501 0.201 Ir
0.499 0.998 0.201 Ir
0.500 0.000 0.000 Ir
0.500 0.500 0.000 Ir
0.501 0.002 0.799 Ir
0.501 0.499 0.799 Ir
0.666 0.833 0.933 Ir
0.667 0.333 0.134 Ir
0.667 0.333 0.933 Ir
0.667 0.833 0.134 Ir
0.667 0.833 0.734 Ir
0.833 0.167 0.067 Ir
0.833 0.167 0.266 Ir
0.833 0.167 0.866 Ir
0.833 0.666 0.067 Ir
0.833 0.667 0.266 Ir
0.833 0.667 0.866 Ir
0.998 0.499 0.799 Ir
0.333 0.667 0.298 Pb
0.667 0.333 0.702 Pb
```

Calculated values
ΔE to the lowest computed polymorph: 2 meV per atom
Total energy: -8.413 eV per atom
Total magnetic moment: 0.00 μB/atom


# Ir15Pb

A relaxed structure of Ir15Pb (PBE, OQMD).

POSCAR file:
```
Ir15Pb
1.0
5.466 0.000 0.000
0.000 2.760 0.000
-0.004 0.000 44.320
Ir Pb
30 2
direct
0.122 0.250 0.283 Ir
0.125 0.250 0.022 Ir
0.125 0.250 0.109 Ir
0.125 0.250 0.760 Ir
0.125 0.250 0.847 Ir
0.125 0.250 0.935 Ir
0.126 0.250 0.196 Ir
0.372 0.750 0.717 Ir
0.375 0.750 0.065 Ir
0.375 0.750 0.153 Ir
0.375 0.750 0.240 Ir
0.375 0.750 0.324 Ir
0.375 0.750 0.891 Ir
0.375 0.750 0.978 Ir
0.376 0.750 0.804 Ir
0.624 0.250 0.196 Ir
0.625 0.250 0.022 Ir
0.625 0.250 0.109 Ir
0.625 0.250 0.676 Ir
0.625 0.250 0.760 Ir
0.625 0.250 0.847 Ir
0.625 0.250 0.935 Ir
0.628 0.250 0.283 Ir
0.874 0.750 0.804 Ir
0.875 0.750 0.065 Ir
0.875 0.750 0.153 Ir
0.875 0.750 0.240 Ir
0.875 0.750 0.891 Ir
0.875 0.750 0.978 Ir
0.878 0.750 0.717 Ir
0.125 0.250 0.658 Pb
0.875 0.750 0.342 Pb
```

Calculated values
ΔE to the lowest computed polymorph: 34 meV per atom
Total energy: -8.412 eV per atom
Total magnetic moment: 0.00 μB/atom


# Ir15Pb

A relaxed structure of Ir15Pb (PBE, OQMD).

POSCAR file:
```
Ir15Pb
1.0
7.714 0.000 0.000
0.000 2.755 0.000
-0.003 0.000 35.812
Ir Pb
30 2
direct
0.122 0.250 0.251 Ir
0.125 0.250 0.328 Ir
0.125 0.250 0.405 Ir
0.125 0.250 0.481 Ir
0.125 0.250 0.557 Ir
0.125 0.250 0.634 Ir
0.125 0.250 0.709 Ir
0.125 0.250 0.783 Ir
0.372 0.750 0.749 Ir
0.374 0.750 0.595 Ir
0.374 0.750 0.672 Ir
0.375 0.750 0.289 Ir
0.375 0.750 0.366 Ir
0.375 0.750 0.442 Ir
0.375 0.750 0.519 Ir
0.625 0.250 0.481 Ir
0.625 0.250 0.558 Ir
0.625 0.250 0.634 Ir
0.625 0.250 0.711 Ir
0.626 0.250 0.328 Ir
0.626 0.250 0.405 Ir
0.628 0.250 0.251 Ir
0.875 0.750 0.217 Ir
0.875 0.750 0.291 Ir
0.875 0.750 0.366 Ir
0.875 0.750 0.443 Ir
0.875 0.750 0.519 Ir
0.875 0.750 0.595 Ir
0.875 0.750 0.672 Ir
0.878 0.750 0.749 Ir
0.375 0.750 0.200 Pb
0.625 0.250 0.800 Pb
```

Calculated values
ΔE to the lowest computed polymorph: 84 meV per atom
Total energy: -8.362 eV per atom
Total magnetic moment: 0.00 μB/atom


# Ir7Pb

A relaxed structure of Ir7Pb (PBE, OQMD).

POSCAR file:
```
Ir7Pb
1.0
2.783 0.000 0.000
0.000 3.856 0.000
0.000 0.000 35.580
Ir Pb
14 2
direct
0.250 0.250 0.019 Ir
0.250 0.250 0.096 Ir
0.250 0.250 0.173 Ir
0.250 0.250 0.248 Ir
0.250 0.250 0.789 Ir
0.250 0.250 0.866 Ir
0.250 0.250 0.942 Ir
0.750 0.750 0.058 Ir
0.750 0.750 0.134 Ir
0.750 0.750 0.211 Ir
0.750 0.750 0.752 Ir
0.750 0.750 0.827 Ir
0.750 0.750 0.904 Ir
0.750 0.750 0.981 Ir
0.250 0.250 0.699 Pb
0.750 0.750 0.301 Pb
```

Calculated values
ΔE to the lowest computed polymorph: 0 meV per atom
Total energy: -8.096 eV per atom
Total magnetic moment: 0.00 μB/atom